Material: NaV2SbO6
Method: DFT, PBE with a Hubbard U
State: relaxed

Cell: 11.0523 9.3137 5.9313 Å, 90.00 105.29 90.00°
Space group C2/c (No. 15)
Asymmetric unit:
Na1 0.0000 0.0937 0.2500 (multiplicity 4)
V1 0.2228 0.4013 0.2540 (multiplicity 8)
Sb1 0.0000 0.2846 0.7500 (multiplicity 4)
O1 0.1048 0.1257 0.6632 (multiplicity 8)
O2 0.1216 0.2640 0.1085 (multiplicity 8)
O3 0.1893 0.4533 0.5317 (multiplicity 8)

Summary:
- Final energy: -6.79 eV per atom
- Magnetic moment: 8.0 μB/cell